DFT (PBE-GGA) results for a geometry-optimized Na2ScCdH structure.

The magnetization is 0.000 μB/cell. The energy comes out at -13.2 eV per cell. The calculation puts the density at 3.414 g cm⁻³. The value obtained for the volume is 19.88 A^3/atom.

Unit cell a=4.753 b=4.753 c=4.400 alpha=90.00 beta=90.00 gamma=90.00
Fractional positions:
Na  0.000  0.500  0.000
Na  0.500  0.000  0.000
Sc  0.000  0.000  0.500
Cd  0.500  0.500  0.500
H  0.000  0.000  0.000

DFT (PBE-GGA) results for a geometry-optimized NaSc2CdH structure.

The magnetization is 1.320 μB/cell. The energy comes out at -18.7 eV per cell. The calculation puts the density at 3.985 g cm⁻³. The value obtained for the volume is 18.86 A^3/atom.

Unit cell a=4.487 b=4.487 c=4.684 alpha=90.00 beta=90.00 gamma=90.00
Fractional positions:
Na  0.000  0.000  0.000
Sc  0.000  0.500  0.500
Sc  0.500  0.000  0.500
Cd  0.500  0.500  0.000
H  0.000  0.000  0.500

DFT (PBE-GGA) results for a geometry-optimized NaCdSiH6 structure.

The magnetization is 0.000 μB/cell. The energy comes out at -26.8 eV per cell. The calculation puts the density at 2.829 g cm⁻³. The value obtained for the volume is 11.06 A^3/atom.

Unit cell a=5.161 b=5.161 c=4.319 alpha=90.10 beta=90.10 gamma=120.12
Fractional positions:
Na  0.000  0.000  0.000
Cd  0.334  0.666  0.500
Si  0.667  0.333  0.000
H  0.417  0.067  0.778
H  0.419  0.350  0.222
H  0.650  0.581  0.778
H  0.651  0.069  0.221
H  0.931  0.349  0.779
H  0.933  0.583  0.222

DFT (PBE-GGA) results for a geometry-optimized Na2CdSnH structure.

The magnetization is 0.000 μB/cell. The energy comes out at -11.1 eV per cell. The calculation puts the density at 4.454 g cm⁻³. The value obtained for the volume is 20.74 A^3/atom.

Unit cell a=4.459 b=4.459 c=5.216 alpha=90.00 beta=90.00 gamma=90.00
Fractional positions:
Na  0.000  0.500  0.000
Na  0.500  0.000  0.000
Cd  0.000  0.000  0.500
Sn  0.500  0.500  0.500
H  0.000  0.000  0.000

Q: Which of these has the highest density?
A: Na2CdSnH

Q: What is the magnetization in the fourth record?
A: 0.000 μB/cell

Q: Which formula does entry 2 have?
A: NaSc2CdH

Q: Number 3 is which compound?
A: NaCdSiH6